A geometry-optimized Cd25Pd9 structure, computed with PBE-GGA.

Unit cell a=8.072 b=8.072 c=11.604 alpha=90.00 beta=90.00 gamma=120.00
Sites, in units of the cell vectors:
Cd1 0.000 0.000 0.000
Cd2 0.000 0.000 0.258
Cd3 0.000 0.000 0.742
Cd4 0.031 0.687 0.574
Cd5 0.051 0.376 0.934
Cd6 0.060 0.670 0.310
Cd7 0.313 0.344 0.574
Cd8 0.325 0.949 0.934
Cd9 0.330 0.390 0.310
Cd10 0.333 0.667 0.118
Cd11 0.333 0.667 0.741
Cd12 0.344 0.031 0.426
Cd13 0.376 0.325 0.066
Cd14 0.390 0.060 0.690
Cd15 0.610 0.940 0.310
Cd16 0.624 0.675 0.934
Cd17 0.656 0.969 0.574
Cd18 0.667 0.333 0.259
Cd19 0.667 0.333 0.882
Cd20 0.670 0.610 0.690
Cd21 0.675 0.051 0.066
Cd22 0.687 0.656 0.426
Cd23 0.940 0.330 0.690
Cd24 0.949 0.624 0.066
Cd25 0.969 0.313 0.426
Pd1 0.000 0.000 0.500
Pd2 0.001 0.329 0.179
Pd3 0.329 0.329 0.821
Pd4 0.329 0.999 0.179
Pd5 0.333 0.667 0.468
Pd6 0.667 0.333 0.532
Pd7 0.671 0.001 0.821
Pd8 0.671 0.671 0.179
Pd9 0.999 0.671 0.821

Properties
Its formation energy is -239 meV/atom. The symmetry is P-3 (147).